Entry 1:
# PuCrAs3 | the Alexandria database | PBE | optimized geometry
data_PuCrAs3
_space_group_name_H-M_alt 'P 1'
_space_group_IT_number 1
_space_group_name_Hall 'P 1'
_cell_length_a 12.027
_cell_length_b 5.652
_cell_length_c 5.577
_cell_angle_alpha 90.00
_cell_angle_beta 90.00
_cell_angle_gamma 90.00
loop_
_atom_site_label
_atom_site_fract_x
_atom_site_fract_y
_atom_site_fract_z
Pu1 0.188 0.010 0.250
Pu2 0.188 0.490 0.750
Pu3 0.812 0.510 0.250
Pu4 0.812 0.990 0.750
Cr1 0.414 0.750 0.000
Cr2 0.414 0.750 0.500
Cr3 0.586 0.250 0.000
Cr4 0.586 0.250 0.500
As1 0.003 0.750 0.000
As2 0.003 0.750 0.500
As3 0.279 0.513 0.250
As4 0.279 0.987 0.750
As5 0.429 0.108 0.250
As6 0.429 0.392 0.750
As7 0.571 0.608 0.250
As8 0.571 0.892 0.750
As9 0.721 0.013 0.250
As10 0.721 0.487 0.750
As11 0.997 0.250 0.000
As12 0.997 0.250 0.500
# E_form = -536.7 meV/atom


Entry 2:
# Tb12Er6In | the Alexandria database | PBE | optimized geometry
data_Tb12Er6In
_space_group_name_H-M_alt 'P 1'
_space_group_IT_number 1
_space_group_name_Hall 'P 1'
_cell_length_a 8.545
_cell_length_b 8.545
_cell_length_c 8.545
_cell_angle_alpha 97.47
_cell_angle_beta 97.47
_cell_angle_gamma 97.47
loop_
_atom_site_label
_atom_site_fract_x
_atom_site_fract_y
_atom_site_fract_z
Tb1 0.001 0.740 0.260
Tb2 0.172 0.579 0.579
Tb3 0.260 0.001 0.740
Tb4 0.260 0.740 0.999
Tb5 0.421 0.421 0.828
Tb6 0.421 0.828 0.421
Tb7 0.579 0.172 0.579
Tb8 0.579 0.579 0.172
Tb9 0.740 0.260 0.001
Tb10 0.740 0.999 0.260
Tb11 0.828 0.421 0.421
Tb12 0.999 0.260 0.740
Er1 0.135 0.135 0.407
Er2 0.135 0.407 0.135
Er3 0.407 0.135 0.135
Er4 0.593 0.865 0.865
Er5 0.865 0.593 0.865
Er6 0.865 0.865 0.593
In1 0.000 0.000 0.000
# E_form = 94.4 meV/atom
# E above lowest polymorph = 22 meV/atom


Entry 3:
# Tb4Dy3Zn4 | the Alexandria database | PBE | optimized geometry
data_Tb4Dy3Zn4
_space_group_name_H-M_alt 'P 1'
_space_group_IT_number 1
_space_group_name_Hall 'P 1'
_cell_length_a 9.153
_cell_length_b 9.153
_cell_length_c 9.153
_cell_angle_alpha 147.66
_cell_angle_beta 135.28
_cell_angle_gamma 56.26
loop_
_atom_site_label
_atom_site_fract_x
_atom_site_fract_y
_atom_site_fract_z
Tb1 0.053 0.821 0.231
Tb2 0.410 0.179 0.231
Tb3 0.590 0.821 0.769
Tb4 0.947 0.179 0.769
Dy1 0.000 0.500 0.500
Dy2 0.399 0.399 0.000
Dy3 0.601 0.601 0.000
Zn1 0.181 0.681 0.500
Zn2 0.317 0.000 0.317
Zn3 0.683 0.000 0.683
Zn4 0.819 0.319 0.500
# E_form = -119.1 meV/atom


Entry 4:
# BaMoIr2 | the Alexandria database | PBE | optimized geometry
data_BaMoIr2
_space_group_name_H-M_alt 'P 1'
_space_group_IT_number 1
_space_group_name_Hall 'P 1'
_cell_length_a 2.889
_cell_length_b 3.942
_cell_length_c 7.495
_cell_angle_alpha 90.00
_cell_angle_beta 90.00
_cell_angle_gamma 90.00
loop_
_atom_site_label
_atom_site_fract_x
_atom_site_fract_y
_atom_site_fract_z
Ba1 0.000 0.000 0.000
Mo1 0.500 0.500 0.629
Ir1 0.000 0.000 0.491
Ir2 0.500 0.500 0.296
# E_form = 476.8 meV/atom
# E above lowest polymorph = 389 meV/atom


Entry 5:
# YZn3As | the Alexandria database | PBE | optimized geometry
data_YZn3As
_space_group_name_H-M_alt 'P 1'
_space_group_IT_number 1
_space_group_name_Hall 'P 1'
_cell_length_a 5.421
_cell_length_b 5.421
_cell_length_c 5.421
_cell_angle_alpha 90.00
_cell_angle_beta 90.00
_cell_angle_gamma 90.00
loop_
_atom_site_label
_atom_site_fract_x
_atom_site_fract_y
_atom_site_fract_z
Y1 0.000 0.000 0.000
Zn1 0.000 0.000 0.500
Zn2 0.000 0.500 0.000
Zn3 0.500 0.000 0.000
As1 0.500 0.500 0.500
# E_form = 1051.3 meV/atom
# E above lowest polymorph = 822 meV/atom


Entry 6:
# Y3ErO | the Alexandria database | PBE | optimized geometry
data_Y3ErO
_space_group_name_H-M_alt 'P 1'
_space_group_IT_number 1
_space_group_name_Hall 'P 1'
_cell_length_a 4.951
_cell_length_b 4.951
_cell_length_c 4.951
_cell_angle_alpha 90.00
_cell_angle_beta 90.00
_cell_angle_gamma 90.00
loop_
_atom_site_label
_atom_site_fract_x
_atom_site_fract_y
_atom_site_fract_z
Y1 0.000 0.000 0.500
Y2 0.000 0.500 0.000
Y3 0.500 0.000 0.000
Er1 0.500 0.500 0.500
O1 0.000 0.000 0.000
# Energy relative to the elements, uncorrected = -1.080 eV/atom


Entry 7:
# SmTh2Pt | the Alexandria database | PBE | optimized geometry
data_SmTh2Pt
_space_group_name_H-M_alt 'P 1'
_space_group_IT_number 1
_space_group_name_Hall 'P 1'
_cell_length_a 10.689
_cell_length_b 10.689
_cell_length_c 10.689
_cell_angle_alpha 20.45
_cell_angle_beta 20.45
_cell_angle_gamma 20.45
loop_
_atom_site_label
_atom_site_fract_x
_atom_site_fract_y
_atom_site_fract_z
Sm1 0.000 0.000 0.000
Th1 0.106 0.106 0.106
Th2 0.894 0.894 0.894
Pt1 0.500 0.500 0.500
# E_form = -173.6 meV/atom
# E above lowest polymorph = 429 meV/atom


Entry 8:
# PmPuPa2P4 | the Alexandria database | PBE | optimized geometry
data_PmPuPa2P4
_space_group_name_H-M_alt 'P 1'
_space_group_IT_number 1
_space_group_name_Hall 'P 1'
_cell_length_a 6.953
_cell_length_b 6.953
_cell_length_c 6.953
_cell_angle_alpha 131.86
_cell_angle_beta 131.86
_cell_angle_gamma 70.45
loop_
_atom_site_label
_atom_site_fract_x
_atom_site_fract_y
_atom_site_fract_z
Pm1 0.000 0.000 0.000
Pu1 0.250 0.750 0.500
Pa1 0.500 0.500 0.000
Pa2 0.750 0.250 0.500
P1 0.255 0.255 0.000
P2 0.502 0.002 0.500
P3 0.745 0.745 0.000
P4 0.998 0.498 0.500
# E_form = -1339.8 meV/atom


Entry 9:
# SrIrCl | the Alexandria database | PBE | optimized geometry
data_SrIrCl
_space_group_name_H-M_alt 'P 1'
_space_group_IT_number 1
_space_group_name_Hall 'P 1'
_cell_length_a 3.514
_cell_length_b 3.514
_cell_length_c 7.307
_cell_angle_alpha 90.00
_cell_angle_beta 90.00
_cell_angle_gamma 120.00
loop_
_atom_site_label
_atom_site_fract_x
_atom_site_fract_y
_atom_site_fract_z
Sr1 0.000 0.000 0.000
Ir1 0.667 0.333 0.683
Cl1 0.333 0.667 0.266
# E above lowest polymorph = 1315 meV/atom
# Energy relative to the elements, uncorrected = 0.060 eV/atom


Entry 10:
# CeNpB2O8 | the Alexandria database | PBE | optimized geometry
data_CeNpB2O8
_space_group_name_H-M_alt 'P 1'
_space_group_IT_number 1
_space_group_name_Hall 'P 1'
_cell_length_a 4.991
_cell_length_b 4.991
_cell_length_c 6.805
_cell_angle_alpha 90.00
_cell_angle_beta 90.00
_cell_angle_gamma 120.00
loop_
_atom_site_label
_atom_site_fract_x
_atom_site_fract_y
_atom_site_fract_z
Ce1 0.000 0.000 0.000
Np1 0.000 0.000 0.500
B1 0.333 0.667 0.209
B2 0.667 0.333 0.791
O1 0.173 0.347 0.291
O2 0.173 0.827 0.291
O3 0.333 0.667 0.003
O4 0.347 0.173 0.709
O5 0.653 0.827 0.291
O6 0.667 0.333 0.997
O7 0.827 0.173 0.709
O8 0.827 0.653 0.709
# Energy relative to the elements, uncorrected = -2.540 eV/atom


Entry 11:
# Ca2CuOs | the Alexandria database | PBE | optimized geometry
data_Ca2CuOs
_space_group_name_H-M_alt 'P 1'
_space_group_IT_number 1
_space_group_name_Hall 'P 1'
_cell_length_a 5.253
_cell_length_b 5.253
_cell_length_c 3.015
_cell_angle_alpha 90.14
_cell_angle_beta 90.14
_cell_angle_gamma 89.76
loop_
_atom_site_label
_atom_site_fract_x
_atom_site_fract_y
_atom_site_fract_z
Ca1 0.000 0.500 0.000
Ca2 0.500 0.000 0.000
Cu1 0.000 0.000 0.500
Os1 0.500 0.500 0.500
# E_form = 377.5 meV/atom


Entry 12:
# Y2Zr | the Alexandria database | PBE | optimized geometry
data_Y2Zr
_space_group_name_H-M_alt 'P 1'
_space_group_IT_number 1
_space_group_name_Hall 'P 1'
_cell_length_a 6.524
_cell_length_b 6.524
_cell_length_c 8.173
_cell_angle_alpha 103.03
_cell_angle_beta 103.03
_cell_angle_gamma 30.88
loop_
_atom_site_label
_atom_site_fract_x
_atom_site_fract_y
_atom_site_fract_z
Y1 0.000 0.000 0.000
Y2 0.051 0.051 0.608
Y3 0.325 0.325 0.667
Y4 0.667 0.667 0.323
Zr1 0.378 0.378 0.260
Zr2 0.729 0.729 0.954
# E_form = 87.1 meV/atom
# E above lowest polymorph = 2 meV/atom


Entry 13:
# TbSbPd | the Alexandria database | PBE | optimized geometry
data_TbSbPd
_space_group_name_H-M_alt 'P 1'
_space_group_IT_number 1
_space_group_name_Hall 'P 1'
_cell_length_a 4.900
_cell_length_b 4.900
_cell_length_c 7.929
_cell_angle_alpha 90.15
_cell_angle_beta 90.15
_cell_angle_gamma 60.01
loop_
_atom_site_label
_atom_site_fract_x
_atom_site_fract_y
_atom_site_fract_z
Tb1 0.166 0.166 0.358
Tb2 0.834 0.834 0.642
Sb1 0.499 0.499 0.188
Sb2 0.501 0.501 0.812
Pd1 0.167 0.167 0.724
Pd2 0.833 0.833 0.276
# Energy relative to the elements, uncorrected = -0.657 eV/atom


Entry 14:
# PaCoReSn | the Alexandria database | PBE | optimized geometry
data_PaCoReSn
_space_group_name_H-M_alt 'P 1'
_space_group_IT_number 1
_space_group_name_Hall 'P 1'
_cell_length_a 4.707
_cell_length_b 4.707
_cell_length_c 4.707
_cell_angle_alpha 60.00
_cell_angle_beta 60.00
_cell_angle_gamma 60.00
loop_
_atom_site_label
_atom_site_fract_x
_atom_site_fract_y
_atom_site_fract_z
Pa1 0.000 0.000 0.000
Co1 0.250 0.250 0.250
Re1 0.750 0.750 0.750
Sn1 0.500 0.500 0.500
# E_form = 30.8 meV/atom


Entry 15:
# ScMnTl2 | the Alexandria database | PBE | optimized geometry
data_ScMnTl2
_space_group_name_H-M_alt 'P 1'
_space_group_IT_number 1
_space_group_name_Hall 'P 1'
_cell_length_a 3.323
_cell_length_b 3.323
_cell_length_c 7.788
_cell_angle_alpha 90.00
_cell_angle_beta 90.00
_cell_angle_gamma 90.00
loop_
_atom_site_label
_atom_site_fract_x
_atom_site_fract_y
_atom_site_fract_z
Sc1 0.000 0.000 0.000
Mn1 0.000 0.000 0.500
Tl1 0.500 0.500 0.267
Tl2 0.500 0.500 0.733
# E_form = 129.2 meV/atom


Entry 16:
# Cr2SbPb | the Alexandria database | PBE | optimized geometry
data_Cr2SbPb
_space_group_name_H-M_alt 'P 1'
_space_group_IT_number 1
_space_group_name_Hall 'P 1'
_cell_length_a 5.210
_cell_length_b 5.210
_cell_length_c 3.269
_cell_angle_alpha 90.38
_cell_angle_beta 90.38
_cell_angle_gamma 99.56
loop_
_atom_site_label
_atom_site_fract_x
_atom_site_fract_y
_atom_site_fract_z
Cr1 0.000 0.500 0.000
Cr2 0.500 0.000 0.000
Sb1 0.000 0.000 0.500
Pb1 0.500 0.500 0.500
# E above lowest polymorph = 251 meV/atom
# Energy relative to the elements, uncorrected = 0.531 eV/atom


Entry 17:
# KLaSb3 | the Alexandria database | PBE | optimized geometry
data_KLaSb3
_space_group_name_H-M_alt 'P 1'
_space_group_IT_number 1
_space_group_name_Hall 'P 1'
_cell_length_a 5.649
_cell_length_b 5.649
_cell_length_c 5.649
_cell_angle_alpha 90.00
_cell_angle_beta 90.00
_cell_angle_gamma 90.00
loop_
_atom_site_label
_atom_site_fract_x
_atom_site_fract_y
_atom_site_fract_z
K1 0.000 0.000 0.000
La1 0.500 0.500 0.500
Sb1 0.000 0.000 0.500
Sb2 0.000 0.500 0.000
Sb3 0.500 0.000 0.000
# E above lowest polymorph = 549 meV/atom
# Energy relative to the elements, uncorrected = 0.525 eV/atom


no.,total DFT energy (no corrections) (eV/atom)
1,-8.12
2,-4.42
3,-3.52
4,-7.14
5,-1.94
6,-6.86
7,-6.57
8,-8.80
9,-4.07
10,-8.53
11,-4.45
12,-7.07
13,-5.31
14,-8.23
15,-4.93
16,-6.24
17,-3.15